DFT (PBE) results for Li2AsBr after structural relaxation.

The structure in POSCAR format:
```
Li2AsBr
1.0
1.524 3.390 2.989
-3.101 2.232 2.856
0.070 -0.818 4.699
As Li Br
1 2 1
Direct
0.000 0.000 0.000 As
0.250 0.250 0.250 Li
0.750 0.750 0.750 Li
0.500 0.500 0.500 Br
```

E_form (uncorrected) in eV per atom: -0.368
Excess energy over the best structure of this formula in the dataset in eV/atom: 0.378
VASP energy in eV for the cell shown: -11.62
Size of the total moment in μB per formula unit: 0.0